A relaxed CaPrFeO4 crystal. Source: Alexandria, functional PBE+U.

a b c (Å): 3.8758 3.8758 6.7523
angles (deg): 106.68 106.68 90.00
Last column: nearest neighbours and their distance in Å.
Element x y z (fractional)
O1 0.8258 0.8258 0.6516  1 Ca 2.24, 1 Fe 2.26
O2 0.9949 0.4949 0.9899  2 Fe 1.95
Fe1 0.0092 0.0092 0.0184  5 O 1.95-2.00
Pr1 0.3594 0.3594 0.7189  5 O 2.32-2.56
O3 0.1716 0.1716 0.3432  1 Fe 2.00
Ca1 0.6440 0.6440 0.2881  1 O 2.24
O4 0.4949 0.9949 0.9899  2 Fe 1.95

Computed properties:
- E_tot (eV per atom) = -7.15
- total magnetization (μB per cell) = 5.000
- SG = I4mm